(1)
Ba2LaPrSe4: optimized geometry, GGA-PBE.

Output
space-group type: P2/m (10)

Lattice parameters (Å, degrees): 7.6802 4.4416 7.8947 90.00 108.96 90.00
With the nearest neighbours (Å) after each atom.
Sites, in units of the cell vectors:
Ba 0.0000 0.0000 0.0000  6 Se 3.29
Ba 0.5000 0.5000 0.0000  6 Se 3.28
La 0.0000 0.5000 0.5000  6 Se 3.07
Pr 0.5000 0.0000 0.5000  6 Se 3.06
Se 0.2430 0.0000 0.7255  1 Pr 3.06, 2 La 3.07, 3 Ba 3.28-3.29
Se 0.2591 0.5000 0.2749  2 Pr 3.06, 1 La 3.07, 3 Ba 3.28-3.29
Se 0.7409 0.5000 0.7251  2 Pr 3.06, 1 La 3.07, 3 Ba 3.28-3.29
Se 0.7570 0.0000 0.2745  1 Pr 3.06, 2 La 3.07, 3 Ba 3.28-3.29

(2)
SrY2Sn2: optimized geometry, GGA-PBE.

Output
space-group type: I4/mmm (139)

Lattice parameters (Å, degrees): 6.8378 6.8378 6.8378 130.25 130.25 73.00
With the nearest neighbours (Å) after each atom.
Sites, in units of the cell vectors:
Sr 0.0000 0.0000 0.0000  2 Y 3.65, 8 Sn 3.98
Y 0.3318 0.3318 0.0000  4 Sn 3.01
Y 0.6682 0.6682 0.0000  4 Sn 3.01
Sn 0.2500 0.7500 0.5000  4 Y 3.01
Sn 0.7500 0.2500 0.5000  4 Y 3.01

(3)
AlCuSnS4: optimized geometry, GGA-PBE.

Output
space-group type: Imma (74)

Lattice parameters (Å, degrees): 7.2678 7.2678 7.2678 120.58 119.32 90.09
With the nearest neighbours (Å) after each atom.
Sites, in units of the cell vectors:
Al 0.5000 0.0000 0.0000  6 S 2.46
Al 0.5000 0.5000 0.5000  6 S 2.46
Cu 0.1175 0.3675 0.7500  4 S 2.32-2.33
Cu 0.8825 0.6325 0.2500  4 S 2.32-2.33
Sn 0.0000 0.0000 0.0000  6 S 2.57-2.58
Sn 0.5000 0.0000 0.5000  6 S 2.57-2.58
S 0.2607 0.2620 0.5013  1 Cu 2.32, 1 Al 2.46, 2 Sn 2.58
S 0.2607 0.7594 0.9987  1 Cu 2.32, 1 Al 2.46, 2 Sn 2.58
S 0.2714 0.2498 0.0216  1 Cu 2.33, 2 Al 2.46, 1 Sn 2.57
S 0.2719 0.7502 0.5216  1 Cu 2.33, 2 Al 2.46, 1 Sn 2.57
S 0.7281 0.2498 0.4784  1 Cu 2.33, 2 Al 2.46, 1 Sn 2.57
S 0.7286 0.7502 0.9784  1 Cu 2.33, 2 Al 2.46, 1 Sn 2.57
S 0.7393 0.2406 0.0013  1 Cu 2.32, 1 Al 2.46, 2 Sn 2.58
S 0.7393 0.7380 0.4987  1 Cu 2.32, 1 Al 2.46, 2 Sn 2.58

(4)
PmPuSc2Bi4: optimized geometry, GGA-PBE.

Output
space-group type: P2/m (10)

Lattice parameters (Å, degrees): 7.6217 4.4185 7.6657 90.00 109.47 90.00
With the nearest neighbours (Å) after each atom.
Sites, in units of the cell vectors:
Pm 0.0000 0.0000 0.0000  6 Bi 3.21
Pu 0.0000 0.5000 0.5000  6 Bi 3.20
Sc 0.5000 0.0000 0.5000  6 Bi 3.03
Sc 0.5000 0.5000 0.0000  6 Bi 3.05
Bi 0.2696 0.0000 0.7549  3 Sc 3.03-3.05, 2 Pu 3.20, 1 Pm 3.21
Bi 0.2705 0.5000 0.2585  3 Sc 3.03-3.05, 1 Pu 3.20, 2 Pm 3.21
Bi 0.7304 0.0000 0.2451  3 Sc 3.03-3.05, 2 Pu 3.20, 1 Pm 3.21
Bi 0.7295 0.5000 0.7415  3 Sc 3.03-3.05, 1 Pu 3.20, 2 Pm 3.21

(5)
Pr2P3IrRh4: optimized geometry, GGA-PBE.

Output
space-group type: P-4m2 (115)

Lattice parameters (Å, degrees): 4.1790 4.1790 9.9603 90.00 90.00 90.00
With the nearest neighbours (Å) after each atom.
Sites, in units of the cell vectors:
Pr 0.0000 0.5000 0.2479  8 Rh 3.15-3.27, 6 P 3.20-3.23, 2 Ir 3.23
Pr 0.5000 0.0000 0.7521  8 Rh 3.15-3.27, 6 P 3.20-3.23, 2 Ir 3.23
P 0.0000 0.0000 0.0000  4 Rh 2.50
P 0.0000 0.5000 0.6297  5 Rh 2.31-2.46
P 0.5000 0.0000 0.3703  5 Rh 2.31-2.46
Ir 0.5000 0.5000 0.0000  4 Rh 2.50
Rh 0.0000 0.0000 0.5000  4 P 2.46
Rh 0.0000 0.5000 0.8614  3 P 2.31-2.50, 2 Ir 2.50
Rh 0.5000 0.0000 0.1386  3 P 2.31-2.50, 2 Ir 2.50
Rh 0.5000 0.5000 0.5000  4 P 2.46

(6)
Ba3PuCu2S6: optimized geometry, GGA-PBE.

Output
space-group type: P-3m1 (164)

Lattice parameters (Å, degrees): 7.3327 7.3327 7.9903 90.00 90.00 120.00
With the nearest neighbours (Å) after each atom.
Sites, in units of the cell vectors:
Ba 0.0000 0.0000 0.0000  6 S 3.16
Ba 0.3333 0.6667 0.6276  1 Cu 3.16, 3 S 3.41
Ba 0.6667 0.3333 0.3724  1 Cu 3.16, 3 S 3.41
Pu 0.0000 0.0000 0.5000  6 S 2.66
Cu 0.3333 0.6667 0.2317  3 S 2.20
Cu 0.6667 0.3333 0.7683  3 S 2.20
S 0.1652 0.3303 0.2953  1 Cu 2.20
S 0.1652 0.8348 0.2953  1 Cu 2.20
S 0.3303 0.1652 0.7047  1 Cu 2.20
S 0.6697 0.8348 0.2953  1 Cu 2.20
S 0.8348 0.1652 0.7047  1 Cu 2.20
S 0.8348 0.6697 0.7047  1 Cu 2.20

(7)
As2PtW: optimized geometry, GGA-PBE.

Output
space-group type: Fm-3m (225)

Lattice parameters (Å, degrees): 4.5002 4.5002 4.5002 60.00 60.00 60.00
With the nearest neighbours (Å) after each atom.
Sites, in units of the cell vectors:
As 0.2500 0.2500 0.2500  4 W 2.76, 4 Pt 2.76
As 0.7500 0.7500 0.7500  4 W 2.76, 4 Pt 2.76
Pt 0.0000 0.0000 0.0000  8 As 2.76
W 0.5000 0.5000 0.5000  8 As 2.76

(8)
Y2Mg3Cu: optimized geometry, GGA-PBE.

Output
space-group type: Cmcm (63)

Lattice parameters (Å, degrees): 7.1679 7.1679 6.5361 90.00 90.00 111.43
With the nearest neighbours (Å) after each atom.
Sites, in units of the cell vectors:
Y 0.2184 0.2184 0.0000  2 Cu 2.87
Y 0.2184 0.2184 0.5000  2 Cu 2.87
Y 0.7816 0.7816 0.0000  2 Cu 2.87
Y 0.7816 0.7816 0.5000  2 Cu 2.87
Mg 0.0769 0.5653 0.2500  2 Mg 2.89-2.90, 1 Cu 2.91
Mg 0.3543 0.6457 0.7500  1 Cu 2.62, 2 Mg 2.90
Mg 0.4347 0.9231 0.2500  2 Mg 2.89-2.90, 1 Cu 2.91
Mg 0.5653 0.0769 0.7500  2 Mg 2.89-2.90, 1 Cu 2.91
Mg 0.6457 0.3543 0.2500  1 Cu 2.62, 2 Mg 2.90
Mg 0.9231 0.4347 0.7500  2 Mg 2.89-2.90, 1 Cu 2.91
Cu 0.1327 0.8673 0.7500  3 Mg 2.62-2.91, 4 Y 2.87
Cu 0.8673 0.1327 0.2500  3 Mg 2.62-2.91, 4 Y 2.87

(9)
Rb2IrI6N: optimized geometry, GGA-PBE.

Output
space-group type: I4/mmm (139)

Lattice parameters (Å, degrees): 7.9837 7.9837 7.9837 112.84 112.84 102.93
With the nearest neighbours (Å) after each atom.
Sites, in units of the cell vectors:
Rb 0.2500 0.7500 0.5000  12 I 4.02-4.43
Rb 0.7500 0.2500 0.5000  12 I 4.02-4.43
Ir 0.0000 0.0000 0.0000  6 I 2.69-2.80
I 0.2150 0.2150 0.4299  1 Ir 2.69
I 0.2150 0.7850 0.0000  1 Ir 2.69
I 0.2814 0.2814 0.0000  1 N 2.17
I 0.7186 0.7186 0.0000  1 N 2.17
I 0.7850 0.2150 0.0000  1 Ir 2.69
I 0.7850 0.7850 0.5701  1 Ir 2.69
N 0.5000 0.5000 0.0000  2 I 2.17

(10)
MgTe2O: optimized geometry, GGA-PBE.

Output
space-group type: I-42d (122)

Lattice parameters (Å, degrees): 7.5787 7.5787 7.5787 134.78 134.78 65.87
With the nearest neighbours (Å) after each atom.
Sites, in units of the cell vectors:
Mg 0.0000 0.0000 0.0000  4 Te 2.98
Mg 0.7500 0.2500 0.5000  4 Te 2.98
Te 0.2269 0.6250 0.1019  2 O 2.32
Te 0.3750 0.4769 0.6019  2 O 2.32
Te 0.5231 0.1250 0.8981  2 O 2.32
Te 0.8750 0.7731 0.3981  2 O 2.32
O 0.2500 0.7500 0.5000  4 Te 2.32
O 0.5000 0.5000 0.0000  4 Te 2.32

(11)
Ba14Na6Rh3: optimized geometry, GGA-PBE.

Output
space-group type: P3m1 (156)

Lattice parameters (Å, degrees): 12.9620 12.9620 7.9576 90.00 90.00 120.00
With the nearest neighbours (Å) after each atom.
Sites, in units of the cell vectors:
Ba 0.0000 0.0000 0.0000  1 Rh 2.97
Ba 0.1084 0.5542 0.3215  1 Rh 3.11
Ba 0.2211 0.4422 0.7796  1 Rh 3.12
Ba 0.2211 0.7789 0.7796  1 Rh 3.12
Ba 0.2374 0.1187 0.5543  1 Rh 3.03
Ba 0.4283 0.2141 0.0631  1 Rh 3.01
Ba 0.4458 0.5542 0.3215  1 Rh 3.11
Ba 0.4458 0.8916 0.3215  1 Rh 3.11
Ba 0.5578 0.7789 0.7796  1 Rh 3.12
Ba 0.6667 0.3333 0.5133  1 Rh 3.00
Ba 0.7859 0.2141 0.0631  1 Rh 3.01
Ba 0.7859 0.5717 0.0631  1 Rh 3.01
Ba 0.8813 0.1187 0.5543  1 Rh 3.03
Ba 0.8813 0.7626 0.5543  1 Rh 3.03
Na 0.1337 0.2674 0.2499  1 Rh 3.16
Na 0.1337 0.8663 0.2499  1 Rh 3.16
Na 0.5338 0.0676 0.7672  1 Rh 3.14
Na 0.5338 0.4662 0.7672  1 Rh 3.14
Na 0.7326 0.8663 0.2499  1 Rh 3.16
Na 0.9324 0.4662 0.7672  1 Rh 3.14
Rh 0.0000 0.0000 0.3730  4 Ba 2.97-3.03, 3 Na 3.16
Rh 0.3333 0.6667 0.5488  6 Ba 3.11-3.12
Rh 0.6667 0.3333 0.8906  4 Ba 3.00-3.01, 3 Na 3.14

(12)
MnSe: optimized geometry, GGA-PBE.

Output
space-group type: Fddd (70)

Lattice parameters (Å, degrees): 6.5964 6.5785 5.4054 65.95 65.60 48.44
With the nearest neighbours (Å) after each atom.
Sites, in units of the cell vectors:
Mn 0.0058 0.0058 0.2442  4 Se 2.36-2.37, 1 Mn 2.56
Mn 0.2442 0.2442 0.0058  4 Se 2.36-2.37, 1 Mn 2.56
Mn 0.7558 0.7558 0.9942  4 Se 2.36-2.37, 1 Mn 2.56
Mn 0.9942 0.9942 0.7558  4 Se 2.36-2.37, 1 Mn 2.56
Se 0.1342 0.6158 0.1342  4 Mn 2.36-2.37
Se 0.3842 0.8658 0.3842  4 Mn 2.36-2.37
Se 0.6158 0.1342 0.6158  4 Mn 2.36-2.37
Se 0.8658 0.3842 0.8658  4 Mn 2.36-2.37

(13)
LaDyGa2: optimized geometry, GGA-PBE.

Output
space-group type: R-3m (166)

Lattice parameters (Å, degrees): 9.1862 9.1862 9.1862 23.61 23.61 23.61
With the nearest neighbours (Å) after each atom.
Sites, in units of the cell vectors:
La 0.0000 0.0000 0.0000  6 Ga 3.19
Dy 0.5000 0.5000 0.5000  6 Ga 3.04
Ga 0.2459 0.2459 0.2459  3 Dy 3.04, 3 La 3.19
Ga 0.7541 0.7541 0.7541  3 Dy 3.04, 3 La 3.19

(14)
SrBe2Tc: optimized geometry, GGA-PBE.

Output
space-group type: F-43m (216)

Lattice parameters (Å, degrees): 4.5238 4.5238 4.5238 60.00 60.00 60.00
With the nearest neighbours (Å) after each atom.
Sites, in units of the cell vectors:
Sr 0.0000 0.0000 0.0000  4 Be 2.77, 4 Tc 2.77
Be 0.5000 0.5000 0.5000  4 Be 2.77, 4 Tc 2.77
Be 0.7500 0.7500 0.7500  4 Sr 2.77, 4 Be 2.77
Tc 0.2500 0.2500 0.2500  4 Be 2.77, 4 Sr 2.77

(15)
NdSmGa2Rh2: optimized geometry, GGA-PBE.

Output
space-group type: P-3m1 (164)

Lattice parameters (Å, degrees): 4.3801 4.3801 7.6149 90.00 90.00 120.00
With the nearest neighbours (Å) after each atom.
Sites, in units of the cell vectors:
Nd 0.0000 0.0000 0.0000  6 Ga 3.19, 6 Rh 3.22
Sm 0.0000 0.0000 0.5000  6 Rh 3.11, 6 Ga 3.14
Ga 0.3333 0.6667 0.2550  3 Rh 2.53
Ga 0.6667 0.3333 0.7450  3 Rh 2.53
Rh 0.3333 0.6667 0.7388  3 Ga 2.53
Rh 0.6667 0.3333 0.2612  3 Ga 2.53

(16)
InCo3I: optimized geometry, GGA-PBE.

Output
space-group type: Pm-3m (221)

Lattice parameters (Å, degrees): 4.6508 4.6508 4.6508 90.00 90.00 90.00
With the nearest neighbours (Å) after each atom.
Sites, in units of the cell vectors:
In 0.0000 0.0000 0.0000  12 Co 3.29
Co 0.0000 0.5000 0.5000  2 I 2.33
Co 0.5000 0.0000 0.5000  2 I 2.33
Co 0.5000 0.5000 0.0000  2 I 2.33
I 0.5000 0.5000 0.5000  6 Co 2.33

(17)
KTaBe2: optimized geometry, GGA-PBE.

Output
space-group type: P4/mmm (123)

Lattice parameters (Å, degrees): 5.1000 5.1000 2.6086 90.00 90.00 90.00
With the nearest neighbours (Å) after each atom.
Sites, in units of the cell vectors:
K 0.0000 0.0000 0.0000  2 K 2.61, 8 Be 2.86
Ta 0.5000 0.5000 0.0000  2 Ta 2.61, 8 Be 2.86
Be 0.0000 0.5000 0.5000  2 Be 2.61, 4 Ta 2.86, 4 K 2.86
Be 0.5000 0.0000 0.5000  2 Be 2.61, 4 Ta 2.86, 4 K 2.86

(18)
Rb2BaPbF6: optimized geometry, GGA-PBE.

Output
space-group type: Fm-3m (225)

Lattice parameters (Å, degrees): 7.0533 7.0533 7.0533 60.00 60.00 60.00
With the nearest neighbours (Å) after each atom.
Sites, in units of the cell vectors:
Rb 0.2500 0.2500 0.2500  12 F 3.53
Rb 0.7500 0.7500 0.7500  12 F 3.53
Ba 0.0000 0.0000 0.0000  6 F 2.55
Pb 0.5000 0.5000 0.5000  6 F 2.44
F 0.2557 0.2557 0.7443  1 Pb 2.44, 1 Ba 2.55
F 0.2557 0.7443 0.2557  1 Pb 2.44, 1 Ba 2.55
F 0.2557 0.7443 0.7443  1 Pb 2.44, 1 Ba 2.55
F 0.7443 0.2557 0.2557  1 Pb 2.44, 1 Ba 2.55
F 0.7443 0.2557 0.7443  1 Pb 2.44, 1 Ba 2.55
F 0.7443 0.7443 0.2557  1 Pb 2.44, 1 Ba 2.55

(19)
Sm6TlIr2Br3: optimized geometry, GGA-PBE.

Output
space-group type: C2/m (12)

Lattice parameters (Å, degrees): 10.3726 10.3726 9.0858 106.67 106.67 22.80
With the nearest neighbours (Å) after each atom.
Sites, in units of the cell vectors:
Sm 0.0310 0.0310 0.2699  1 Ir 2.72
Sm 0.3149 0.3149 0.4306  3 Ir 2.80-2.83
Sm 0.3369 0.3369 0.8678  2 Ir 2.80
Sm 0.6631 0.6631 0.1322  2 Ir 2.80
Sm 0.6851 0.6851 0.5694  3 Ir 2.80-2.83
Sm 0.9690 0.9690 0.7301  1 Ir 2.72
Tl 0.5000 0.5000 0.0000  6 Sm 3.12-3.18
Ir 0.1709 0.1709 0.3470  6 Sm 2.72-2.83
Ir 0.8291 0.8291 0.6530  6 Sm 2.72-2.83
Br 0.1716 0.1716 0.8486  5 Sm 3.31-3.34
Br 0.5000 0.5000 0.5000  4 Sm 3.12
Br 0.8284 0.8284 0.1514  5 Sm 3.31-3.34

(20)
Be2AsRh: optimized geometry, GGA-PBE.

Output
space-group type: R-3m (166)

Lattice parameters (Å, degrees): 7.3816 7.3816 7.3816 22.35 22.35 22.35
With the nearest neighbours (Å) after each atom.
Sites, in units of the cell vectors:
Be 0.2425 0.2425 0.2425  3 Rh 2.33, 3 As 2.56
Be 0.7575 0.7575 0.7575  3 Rh 2.33, 3 As 2.56
As 0.0000 0.0000 0.0000  6 Be 2.56, 6 As 2.86
Rh 0.5000 0.5000 0.5000  6 Be 2.33

(21)
TlWAuS2: optimized geometry, GGA-PBE.

Output
space-group type: P4/mmm (123)

Lattice parameters (Å, degrees): 4.5487 4.5487 5.9208 90.00 90.00 90.00
With the nearest neighbours (Å) after each atom.
Sites, in units of the cell vectors:
Tl 0.0000 0.0000 0.0000  2 W 2.96, 4 Au 3.22
W 0.0000 0.0000 0.5000  4 S 2.27
Au 0.5000 0.5000 0.0000  4 Tl 3.22
S 0.0000 0.5000 0.5000  2 W 2.27
S 0.5000 0.0000 0.5000  2 W 2.27

(22)
LiTaTlBr6: optimized geometry, GGA-PBE.

Output
space-group type: P-31c (163)

Lattice parameters (Å, degrees): 6.9959 6.9959 14.3760 90.00 90.00 120.00
With the nearest neighbours (Å) after each atom.
Sites, in units of the cell vectors:
Li 0.3333 0.6667 0.2500  6 Br 2.76
Li 0.6667 0.3333 0.7500  6 Br 2.76
Ta 0.3333 0.6667 0.7500  6 Br 2.59
Ta 0.6667 0.3333 0.2500  6 Br 2.59
Tl 0.0000 0.0000 0.0000  6 Br 3.34
Tl 0.0000 0.0000 0.5000  6 Br 3.34
Br 0.0186 0.3811 0.6458  1 Ta 2.59, 1 Li 2.76
Br 0.0186 0.6374 0.8542  1 Ta 2.59, 1 Li 2.76
Br 0.3626 0.3811 0.8542  1 Ta 2.59, 1 Li 2.76
Br 0.3626 0.9814 0.6458  1 Ta 2.59, 1 Li 2.76
Br 0.3811 0.0186 0.1458  1 Ta 2.59, 1 Li 2.76
Br 0.3811 0.3626 0.3542  1 Ta 2.59, 1 Li 2.76
Br 0.6189 0.6374 0.6458  1 Ta 2.59, 1 Li 2.76
Br 0.6189 0.9814 0.8542  1 Ta 2.59, 1 Li 2.76
Br 0.6374 0.0186 0.3542  1 Ta 2.59, 1 Li 2.76
Br 0.6374 0.6189 0.1458  1 Ta 2.59, 1 Li 2.76
Br 0.9814 0.3626 0.1458  1 Ta 2.59, 1 Li 2.76
Br 0.9814 0.6189 0.3542  1 Ta 2.59, 1 Li 2.76

(23)
Mo3AsIr: optimized geometry, GGA-PBE.

Output
space-group type: Pm-3m (221)

Lattice parameters (Å, degrees): 4.7665 4.7665 4.7665 90.00 90.00 90.00
With the nearest neighbours (Å) after each atom.
Sites, in units of the cell vectors:
Mo 0.0000 0.0000 0.5000  2 Ir 2.38
Mo 0.0000 0.5000 0.0000  2 Ir 2.38
Mo 0.5000 0.0000 0.0000  2 Ir 2.38
As 0.5000 0.5000 0.5000  12 Mo 3.37
Ir 0.0000 0.0000 0.0000  6 Mo 2.38

Number 1: DFT total energy -5.3925 eV/atom. Number 2: DFT total energy -4.8418 eV/atom. Number 3: DFT total energy -4.6802 eV/atom. Number 4: DFT total energy -6.5454 eV/atom. Number 5: DFT total energy -7.2511 eV/atom. Number 6: DFT total energy -5.7249 eV/atom. Number 7: DFT total energy -6.7843 eV/atom. Number 8: DFT total energy -3.5314 eV/atom. Number 9: DFT total energy -3.0102 eV/atom. Number 10: DFT total energy -3.4509 eV/atom. Number 11: DFT total energy -2.5207 eV/atom. Number 12: DFT total energy -6.4765 eV/atom. Number 13: DFT total energy -4.2672 eV/atom. Number 14: DFT total energy -3.7751 eV/atom. Number 15: DFT total energy -5.8177 eV/atom. Number 16: DFT total energy -3.9138 eV/atom. Number 17: DFT total energy -4.1772 eV/atom. Number 18: DFT total energy -4.7549 eV/atom. Number 19: DFT total energy -5.4227 eV/atom. Number 20: DFT total energy -4.8503 eV/atom. Number 21: DFT total energy -5.0952 eV/atom. Number 22: DFT total energy -3.8864 eV/atom. Number 23: DFT total energy -7.6058 eV/atom.